# CsSr2Br | Alexandria via LeMat-Bulk | PBE | relaxed
# Uncorrected energy   -1.903 eV/atom
# E above lowest polymorph   0.000 eV per atom
# D(E_F)   4.4 states/eV/f.u.
# Mass density   2.04 g cm⁻³
# Formation energy (no corrections)   -0.43 eV/atom
# Size of the total moment   0.00 Bohr magnetons per cell
# SG   No. 122
# V   78.9 Å³/atom
data_CsSr2Br
_cell_length_a 8.292
_cell_length_b 8.292
_cell_length_c 10.896
_cell_angle_alpha 67.64
_cell_angle_beta 67.64
_cell_angle_gamma 90.00
_space_group_name_H-M_alt 'P 1'
_space_group_IT_number 1
loop_
_space_group_symop_operation_xyz
'x,y,z'
loop_
_atom_site_label
_atom_site_type_symbol
_atom_site_fract_x
_atom_site_fract_y
_atom_site_fract_z
_atom_site_occupancy
Sr1 Sr 0.373 0.625 0.250 1
Sr2 Sr 0.875 0.627 0.750 1
Cs1 Cs 0.000 0.000 0.000 1
Br1 Br 0.250 0.750 0.500 1
Sr3 Sr 0.375 0.623 0.750 1
Sr4 Sr 0.377 0.125 0.250 1
Cs2 Cs 0.750 0.250 0.500 1
Br2 Br 0.500 0.500 0.000 1

# CsSrBr | Alexandria via LeMat-Bulk | PBE | relaxed
# Uncorrected energy   -2.301 eV/atom
# D(E_F)   1.8 states/eV/f.u.
# Mass density   2.68 g cm⁻³
# Formation energy (no corrections)   -0.90 eV/atom
# Size of the total moment   0.00 Bohr magnetons per cell
# SG   No. 164
# V   62.1 Å³/atom
data_CsSrBr
_cell_length_a 4.535
_cell_length_b 4.535
_cell_length_c 41.827
_cell_angle_alpha 90.00
_cell_angle_beta 90.00
_cell_angle_gamma 120.00
_space_group_name_H-M_alt 'P 1'
_space_group_IT_number 1
loop_
_space_group_symop_operation_xyz
'x,y,z'
loop_
_atom_site_label
_atom_site_type_symbol
_atom_site_fract_x
_atom_site_fract_y
_atom_site_fract_z
_atom_site_occupancy
Sr1 Sr 0.667 0.333 0.729 1
Br1 Br 0.667 0.333 0.884 1
Br2 Br 0.667 0.333 0.318 1
Cs1 Cs 0.667 0.333 0.174 1
Sr2 Sr 0.667 0.333 0.611 1
Br3 Br 0.333 0.667 0.116 1
Cs2 Cs 0.333 0.667 0.826 1
Sr3 Sr 0.333 0.667 0.389 1
Cs3 Cs 0.667 0.333 0.058 1
Br4 Br 0.333 0.667 0.682 1
Sr4 Sr 0.333 0.667 0.271 1
Cs4 Cs 0.333 0.667 0.942 1

# Cs5Sr3Br12 | Alexandria via LeMat-Bulk | PBE | relaxed
# Uncorrected energy   -3.161 eV/atom
# D(E_F)   35.0 states/eV/f.u.
# Mass density   2.75 g cm⁻³
# Formation energy (no corrections)   -1.69 eV/atom
# Size of the total moment   6.13 Bohr magnetons per cell
# SG   No. 230
# V   57.0 Å³/atom
data_Cs5Sr3Br12
_cell_length_a 18.090
_cell_length_b 18.090
_cell_length_c 18.090
_cell_angle_alpha 109.47
_cell_angle_beta 109.47
_cell_angle_gamma 109.47
_space_group_name_H-M_alt 'P 1'
_space_group_IT_number 1
loop_
_space_group_symop_operation_xyz
'x,y,z'
loop_
_atom_site_label
_atom_site_type_symbol
_atom_site_fract_x
_atom_site_fract_y
_atom_site_fract_z
_atom_site_occupancy
Cs1 Cs 0.125 0.750 0.375 1
Cs2 Cs 0.000 0.500 0.500 1
Cs3 Cs 0.750 0.625 0.375 1
Br1 Br 0.069 0.862 0.882 1
Br2 Br 0.813 0.382 0.521 1
Sr1 Sr 0.125 0.875 0.750 1
Br3 Br 0.431 0.813 0.292 1
Br4 Br 0.479 0.118 0.187 1
Br5 Br 0.208 0.138 0.521 1
Br6 Br 0.569 0.187 0.708 1
Br7 Br 0.618 0.187 0.979 1
Cs4 Cs 0.000 0.500 0.000 1
Cs5 Cs 0.750 0.125 0.875 1
Sr2 Sr 0.125 0.250 0.875 1
Br8 Br 0.069 0.208 0.687 1
Br9 Br 0.862 0.792 0.979 1
Br10 Br 0.862 0.069 0.382 1
Br11 Br 0.521 0.638 0.208 1
Cs6 Cs 0.625 0.750 0.875 1
Br12 Br 0.618 0.431 0.138 1
Br13 Br 0.362 0.479 0.292 1
Cs7 Cs 0.500 0.000 0.000 1
Br14 Br 0.138 0.931 0.618 1
Cs8 Cs 0.500 0.500 0.000 1
Br15 Br 0.118 0.638 0.931 1
Br16 Br 0.292 0.979 0.362 1
Sr3 Sr 0.250 0.125 0.375 1
Br17 Br 0.813 0.431 0.792 1
Br18 Br 0.382 0.569 0.862 1
Sr4 Sr 0.625 0.375 0.750 1
Br19 Br 0.638 0.118 0.431 1
Sr5 Sr 0.375 0.750 0.625 1
Cs9 Cs 0.000 0.000 0.500 1
Cs10 Cs 0.250 0.375 0.625 1
Cs11 Cs 0.375 0.125 0.750 1
Br20 Br 0.687 0.979 0.118 1
Br21 Br 0.362 0.882 0.569 1
Br22 Br 0.638 0.521 0.708 1
Br23 Br 0.187 0.618 0.479 1
Br24 Br 0.313 0.021 0.882 1
Cs12 Cs 0.125 0.375 0.250 1
Br25 Br 0.931 0.138 0.118 1
Br26 Br 0.931 0.792 0.313 1
Br27 Br 0.882 0.362 0.069 1
Br28 Br 0.979 0.687 0.618 1
Br29 Br 0.687 0.708 0.069 1
Br30 Br 0.118 0.479 0.687 1
Sr6 Sr 0.875 0.750 0.125 1
Br31 Br 0.708 0.021 0.638 1
Cs13 Cs 0.875 0.250 0.625 1
Br32 Br 0.479 0.362 0.792 1
Br33 Br 0.292 0.313 0.431 1
Br34 Br 0.021 0.708 0.138 1
Br35 Br 0.431 0.618 0.638 1
Br36 Br 0.792 0.862 0.479 1
Br37 Br 0.313 0.292 0.931 1
Br38 Br 0.208 0.069 0.187 1
Br39 Br 0.792 0.931 0.813 1
Sr7 Sr 0.750 0.875 0.625 1
Cs14 Cs 0.875 0.625 0.750 1
Sr8 Sr 0.875 0.125 0.250 1
Br40 Br 0.569 0.382 0.362 1
Br41 Br 0.187 0.569 0.208 1
Br42 Br 0.882 0.521 0.313 1
Br43 Br 0.021 0.313 0.382 1
Br44 Br 0.382 0.813 0.021 1
Cs15 Cs 0.625 0.875 0.250 1
Sr9 Sr 0.250 0.625 0.875 1
Sr10 Sr 0.375 0.625 0.250 1
Cs16 Cs 0.000 0.000 0.000 1
Sr11 Sr 0.625 0.250 0.375 1
Cs17 Cs 0.250 0.875 0.125 1
Br45 Br 0.708 0.687 0.569 1
Sr12 Sr 0.750 0.375 0.125 1
Br46 Br 0.138 0.208 0.021 1
Br47 Br 0.521 0.882 0.813 1
Cs18 Cs 0.375 0.250 0.125 1
Br48 Br 0.979 0.292 0.862 1
Cs19 Cs 0.500 0.000 0.500 1
Cs20 Cs 0.500 0.500 0.500 1

# CsSrTa2Br | Alexandria via LeMat-Bulk | PBE | relaxed
# Uncorrected energy   -4.291 eV/atom
# D(E_F)   2.1 states/eV/f.u.
# Mass density   7.38 g cm⁻³
# Formation energy (no corrections)   1.29 eV/atom
# Size of the total moment   0.00 Bohr magnetons per cell
# SG   No. 123
# V   29.8 Å³/atom
data_CsSrTa2Br
_cell_length_a 4.929
_cell_length_b 6.132
_cell_length_c 4.929
_cell_angle_alpha 90.00
_cell_angle_beta 90.00
_cell_angle_gamma 90.00
_space_group_name_H-M_alt 'P 1'
_space_group_IT_number 1
loop_
_space_group_symop_operation_xyz
'x,y,z'
loop_
_atom_site_label
_atom_site_type_symbol
_atom_site_fract_x
_atom_site_fract_y
_atom_site_fract_z
_atom_site_occupancy
Cs1 Cs 0.500 0.500 0.500 1
Ta1 Ta 0.500 0.000 0.000 1
Sr1 Sr 0.000 0.500 0.000 1
Br1 Br 0.000 0.000 0.000 1
Ta2 Ta 0.000 0.000 0.500 1

# CsSrTbBr6 | Alexandria via LeMat-Bulk | PBE | relaxed
# Uncorrected energy   -3.889 eV/atom
# D(E_F)   0.0 states/eV/f.u.
# Mass density   3.49 g cm⁻³
# Formation energy (no corrections)   -1.98 eV/atom
# Size of the total moment   0.00 Bohr magnetons per cell
# SG   No. 163
# V   45.4 Å³/atom
data_CsSrTbBr6
_cell_length_a 7.775
_cell_length_b 7.775
_cell_length_c 15.625
_cell_angle_alpha 90.00
_cell_angle_beta 90.00
_cell_angle_gamma 120.00
_space_group_name_H-M_alt 'P 1'
_space_group_IT_number 1
loop_
_space_group_symop_operation_xyz
'x,y,z'
loop_
_atom_site_label
_atom_site_type_symbol
_atom_site_fract_x
_atom_site_fract_y
_atom_site_fract_z
_atom_site_occupancy
Tb1 Tb 0.667 0.333 0.250 1
Sr1 Sr 0.667 0.333 0.750 1
Br1 Br 0.388 0.023 0.144 1
Cs1 Cs 0.000 0.000 0.000 1
Br2 Br 0.635 0.023 0.356 1
Br3 Br 0.365 0.977 0.644 1
Br4 Br 0.023 0.635 0.856 1
Tb2 Tb 0.333 0.667 0.750 1
Br5 Br 0.612 0.977 0.856 1
Br6 Br 0.388 0.365 0.356 1
Br7 Br 0.635 0.612 0.144 1
Br8 Br 0.977 0.612 0.356 1
Br9 Br 0.365 0.388 0.856 1
Br10 Br 0.612 0.635 0.644 1
Br11 Br 0.023 0.388 0.644 1
Cs2 Cs 0.000 0.000 0.500 1
Sr2 Sr 0.333 0.667 0.250 1
Br12 Br 0.977 0.365 0.144 1

# Cs2SrTbBr6 | Alexandria via LeMat-Bulk | PBE | relaxed
# Uncorrected energy   -3.590 eV/atom
# D(E_F)   4.7 states/eV/f.u.
# Mass density   4.07 g cm⁻³
# Formation energy (no corrections)   -1.78 eV/atom
# Size of the total moment   1.69 Bohr magnetons per cell
# SG   No. 59
# V   40.5 Å³/atom
data_Cs2SrTbBr6
_cell_length_a 8.309
_cell_length_b 8.299
_cell_length_c 11.747
_cell_angle_alpha 90.00
_cell_angle_beta 90.00
_cell_angle_gamma 90.00
_space_group_name_H-M_alt 'P 1'
_space_group_IT_number 1
loop_
_space_group_symop_operation_xyz
'x,y,z'
loop_
_atom_site_label
_atom_site_type_symbol
_atom_site_fract_x
_atom_site_fract_y
_atom_site_fract_z
_atom_site_occupancy
Br1 Br 0.743 0.006 0.500 1
Br2 Br 0.500 0.250 0.743 1
Cs1 Cs 0.000 0.250 0.751 1
Br3 Br 0.757 0.994 0.000 1
Br4 Br 0.500 0.250 0.257 1
Br5 Br 0.243 0.507 0.000 1
Sr1 Sr 0.500 0.250 0.000 1
Br6 Br 0.257 0.493 0.500 1
Br7 Br 0.257 0.006 0.500 1
Tb1 Tb 0.000 0.750 0.000 1
Cs2 Cs 0.500 0.750 0.251 1
Br8 Br 0.000 0.750 0.243 1
Cs3 Cs 0.500 0.750 0.749 1
Tb2 Tb 0.500 0.250 0.500 1
Sr2 Sr 0.000 0.750 0.500 1
Cs4 Cs 0.000 0.250 0.249 1
Br9 Br 0.000 0.750 0.757 1
Br10 Br 0.243 0.994 0.000 1
Br11 Br 0.757 0.507 0.000 1
Br12 Br 0.743 0.493 0.500 1

# CsSr2TbBr8 | Alexandria via LeMat-Bulk | PBE | relaxed
# Uncorrected energy   -3.804 eV/atom
# D(E_F)   0.0 states/eV/f.u.
# Mass density   3.75 g cm⁻³
# Formation energy (no corrections)   -1.95 eV/atom
# Size of the total moment   0.00 Bohr magnetons per cell
# SG   No. 2
# V   40.8 Å³/atom
data_CsSr2TbBr8
_cell_length_a 7.213
_cell_length_b 6.997
_cell_length_c 9.713
_cell_angle_alpha 89.93
_cell_angle_beta 89.96
_cell_angle_gamma 89.59
_space_group_name_H-M_alt 'P 1'
_space_group_IT_number 1
loop_
_space_group_symop_operation_xyz
'x,y,z'
loop_
_atom_site_label
_atom_site_type_symbol
_atom_site_fract_x
_atom_site_fract_y
_atom_site_fract_z
_atom_site_occupancy
Sr1 Sr 0.500 0.500 0.751 1
Tb1 Tb 0.000 0.000 0.000 1
Br1 Br 0.840 0.237 0.798 1
Br2 Br 0.839 0.236 0.201 1
Br3 Br 0.320 0.252 0.000 1
Sr2 Sr 0.500 0.500 0.249 1
Br4 Br 0.399 0.264 0.500 1
Br5 Br 0.160 0.763 0.202 1
Cs1 Cs 0.000 0.000 0.500 1
Br6 Br 0.601 0.736 0.500 1
Br7 Br 0.161 0.764 0.799 1
Br8 Br 0.680 0.748 0.000 1

# CsSrTeBr | Alexandria via LeMat-Bulk | PBE | relaxed
# Uncorrected energy   -3.486 eV/atom
# D(E_F)   0.0 states/eV/f.u.
# Mass density   4.02 g cm⁻³
# Formation energy (no corrections)   -1.65 eV/atom
# Size of the total moment   0.00 Bohr magnetons per cell
# SG   No. 160
# V   44.2 Å³/atom
data_CsSrTeBr
_cell_length_a 4.839
_cell_length_b 4.840
_cell_length_c 9.160
_cell_angle_alpha 90.04
_cell_angle_beta 105.31
_cell_angle_gamma 119.99
_space_group_name_H-M_alt 'P 1'
_space_group_IT_number 1
loop_
_space_group_symop_operation_xyz
'x,y,z'
loop_
_atom_site_label
_atom_site_type_symbol
_atom_site_fract_x
_atom_site_fract_y
_atom_site_fract_z
_atom_site_occupancy
Te1 Te 0.105 0.950 0.070 1
Br1 Br 0.501 0.148 0.664 1
Cs1 Cs 0.961 0.379 0.355 1
Sr1 Sr 0.311 0.553 0.881 1